# 1
Computed, not measured: a geometry-optimized Pr4Bi2SbPb structure at the PBE level of DFT. Values from VASP.

Computed properties:
crystal system = tetragonal
space group = I-4m2 (119)
formation energy (no corrections) = -0.88 eV per atom

```
&SYSTEM
  ibrav = 0, nat = 8, ntyp = 4
/
ATOMIC_SPECIES
Bi 208.98 Bi.upf
Pr 140.91 Pr.upf
Pb 207.20 Pb.upf
Sb 121.76 Sb.upf
CELL_PARAMETERS angstrom
-2.6746 5.3221 -2.6571
-2.8695 1.3977 5.6878
7.9782 0.1384 0.2513
ATOMIC_POSITIONS crystal
Bi 0.0000 0.0000 0.0000
Pr 0.5031 0.0031 0.0062
Pb 0.5000 0.5000 0.0000
Pr 0.2491 0.2491 0.4983
Sb 0.7500 0.2500 0.5000
Bi 0.2500 0.7500 0.5000
Pr 0.9969 0.4969 0.9938
Pr 0.7509 0.7509 0.5017
```

***

# 2
Computed, not measured: a geometry-optimized SrPrBiPb structure at the PBE level of DFT. Values from VASP.

Computed properties:
crystal system = cubic
space group = F-43m (216)
energy of formation from the pure elements = -0.538 eV per atom

```
&SYSTEM
  ibrav = 0, nat = 4, ntyp = 4
/
ATOMIC_SPECIES
Pr 140.91 Pr.upf
Bi 208.98 Bi.upf
Pb 207.20 Pb.upf
Sr 87.62 Sr.upf
CELL_PARAMETERS angstrom
5.7570 0.0000 0.0000
2.8785 4.9857 0.0000
2.8785 1.6619 4.7005
ATOMIC_POSITIONS crystal
Pr 0.7500 0.7500 0.7500
Bi 0.5000 0.5000 0.5000
Pb 0.0000 0.0000 0.0000
Sr 0.2500 0.2500 0.2500
```

***

# 3
Computed, not measured: a geometry-optimized Pr8Bi3Te4Pb structure at the PBE level of DFT. Values from VASP.

Computed properties:
crystal system = trigonal
space group = R-3m (166)
formation energy (no corrections) = -1.18 eV per atom

```
&SYSTEM
  ibrav = 0, nat = 16, ntyp = 4
/
ATOMIC_SPECIES
Pr 140.91 Pr.upf
Te 127.60 Te.upf
Bi 208.98 Bi.upf
Pb 207.20 Pb.upf
CELL_PARAMETERS angstrom
9.2000 0.0000 0.0000
0.0000 9.1689 -0.0283
-4.6000 -4.5954 6.5083
ATOMIC_POSITIONS crystal
Pr 0.7530 0.2539 0.0009
Te 0.5000 0.0000 0.5000
Pr 0.2470 0.7461 0.9991
Pr 0.7529 0.2539 0.5059
Te 0.0000 0.0000 0.5000
Bi 0.5000 0.5000 0.0000
Bi 0.0000 0.5000 0.5000
Te 0.0000 0.0000 0.0000
Pb 0.0000 0.5000 0.0000
Pr 0.7492 0.7476 0.4984
Pr 0.7520 0.7461 0.9991
Te 0.5000 0.0000 0.0000
Pr 0.2508 0.2524 0.5016
Pr 0.2480 0.2539 0.0009
Bi 0.5000 0.5000 0.5000
Pr 0.2471 0.7461 0.4941
```

***

# 4
Computed, not measured: a geometry-optimized Pr8Bi4Te3Pb structure at the PBE level of DFT. Values from VASP.

Computed properties:
crystal system = trigonal
space group = R-3m (166)
formation energy (no corrections) = -1.13 eV per atom

```
&SYSTEM
  ibrav = 0, nat = 16, ntyp = 4
/
ATOMIC_SPECIES
Bi 208.98 Bi.upf
Pr 140.91 Pr.upf
Te 127.60 Te.upf
Pb 207.20 Pb.upf
CELL_PARAMETERS angstrom
-4.4015 0.7818 8.0472
6.6299 -4.8836 4.1008
2.1468 7.5411 -4.8237
ATOMIC_POSITIONS crystal
Bi 0.0000 0.0000 0.5000
Pr 0.7527 0.7490 0.0008
Pr 0.2489 0.2466 0.4978
Bi 0.5000 0.0000 0.0000
Te 0.5000 0.5000 0.0000
Pr 0.2473 0.2510 0.9992
Bi 0.5000 0.0000 0.5000
Pb 0.0000 0.5000 0.0000
Bi 0.0000 0.0000 0.0000
Te 0.5000 0.5000 0.5000
Te 0.0000 0.5000 0.5000
Pr 0.7511 0.7534 0.5022
Pr 0.7519 0.2510 0.5038
Pr 0.7519 0.2510 0.9992
Pr 0.2481 0.7490 0.0008
Pr 0.2481 0.7490 0.4962
```

***

# 5
Computed, not measured: a geometry-optimized Pr6Bi2Te3Pb structure at the PBE level of DFT. Values from VASP.

Computed properties:
crystal system = monoclinic
space group = C2/m (12)
formation energy (no corrections) = -1.17 eV per atom

```
&SYSTEM
  ibrav = 0, nat = 12, ntyp = 4
/
ATOMIC_SPECIES
Pr 140.91 Pr.upf
Pb 207.20 Pb.upf
Te 127.60 Te.upf
Bi 208.98 Bi.upf
CELL_PARAMETERS angstrom
4.6016 0.0000 0.0000
0.0000 9.1581 0.3481
-2.3008 -2.6184 9.6511
ATOMIC_POSITIONS crystal
Pr 0.6639 0.0824 0.3278
Pr 0.3332 0.4182 0.6663
Pb 0.5000 0.0000 0.0000
Pr 0.0001 0.7557 0.0002
Pr 0.3361 0.9176 0.6722
Pr 0.9999 0.2443 0.9998
Pr 0.6668 0.5818 0.3337
Te 0.1678 0.8331 0.3356
Te 0.5000 0.5000 0.0000
Bi 0.1668 0.3334 0.3336
Te 0.8322 0.1669 0.6644
Bi 0.8332 0.6666 0.6664
```

***

# 6
Computed, not measured: a geometry-optimized Pr6BiTe2Pb3 structure at the PBE level of DFT. Values from VASP.

Computed properties:
crystal system = monoclinic
space group = C2/m (12)
formation energy (no corrections) = -0.93 eV per atom

```
&SYSTEM
  ibrav = 0, nat = 12, ntyp = 4
/
ATOMIC_SPECIES
Pr 140.91 Pr.upf
Te 127.60 Te.upf
Bi 208.98 Bi.upf
Pb 207.20 Pb.upf
CELL_PARAMETERS angstrom
-3.9516 2.2689 0.0541
-2.8504 -4.7878 -7.4078
-1.0634 -6.6158 7.8602
ATOMIC_POSITIONS crystal
Pr 0.3336 0.4154 0.6673
Te 0.8330 0.6667 0.6660
Pr 0.9999 0.7494 0.9998
Bi 0.5000 0.0000 0.0000
Pb 0.5000 0.5000 0.0000
Pr 0.6664 0.5846 0.3327
Pr 0.6676 0.0815 0.3351
Pb 0.1668 0.8320 0.3336
Pr 0.0001 0.2506 0.0002
Te 0.1670 0.3333 0.3340
Pr 0.3324 0.9185 0.6649
Pb 0.8332 0.1680 0.6664
```

***

# 7
Computed, not measured: a geometry-optimized PrTlBiPb structure at the PBE level of DFT. Values from VASP.

Computed properties:
crystal system = cubic
space group = F-43m (216)
energy of formation from the pure elements = -0.242 eV per atom

```
&SYSTEM
  ibrav = 0, nat = 4, ntyp = 4
/
ATOMIC_SPECIES
Tl 204.38 Tl.upf
Pr 140.91 Pr.upf
Pb 207.20 Pb.upf
Bi 208.98 Bi.upf
CELL_PARAMETERS angstrom
-2.3370 -5.1336 0.0601
0.1072 -3.2022 -4.6426
3.2724 -4.5910 -0.1847
ATOMIC_POSITIONS crystal
Tl 0.7500 0.7500 0.7500
Pr 0.5000 0.5000 0.5000
Pb 0.0000 0.0000 0.0000
Bi 0.2500 0.2500 0.2500
```

***

# 8
Computed, not measured: a geometry-optimized Bi2Pt3Pb2 structure at the PBE level of DFT. Values from VASP.

Computed properties:
crystal system = triclinic
space group = P-1 (2)
energy of formation from the pure elements = -0.170 eV per atom

```
&SYSTEM
  ibrav = 0, nat = 7, ntyp = 3
/
ATOMIC_SPECIES
Pt 195.08 Pt.upf
Pb 207.20 Pb.upf
Bi 208.98 Bi.upf
CELL_PARAMETERS angstrom
3.9063 0.0035 0.0042
-1.9338 7.0515 0.5116
-0.0027 -0.4909 6.3069
ATOMIC_POSITIONS crystal
Pt 0.2536 0.5148 0.6776
Pt 0.0000 0.0000 0.0000
Pt 0.7464 0.4852 0.3224
Pb 0.1066 0.2022 0.3856
Pb 0.8934 0.7978 0.6144
Bi 0.6449 0.2937 0.9207
Bi 0.3551 0.7063 0.0793
```

***

# 9
Computed, not measured: a geometry-optimized Bi4PtPb10 structure at the PBE level of DFT. Values from VASP.

Computed properties:
crystal system = tetragonal
space group = I4/m (87)
energy of formation from the pure elements = -0.001 eV per atom

```
&SYSTEM
  ibrav = 0, nat = 15, ntyp = 3
/
ATOMIC_SPECIES
Pb 207.20 Pb.upf
Pt 195.08 Pt.upf
Bi 208.98 Bi.upf
CELL_PARAMETERS angstrom
-6.1731 -2.3680 -2.8852
0.5355 -8.8209 -2.9243
-5.6545 -3.9006 6.2816
ATOMIC_POSITIONS crystal
Pb 0.4194 0.8976 0.7386
Pb 0.0556 0.1024 0.2614
Pt 0.0000 0.0000 0.0000
Pb 0.3170 0.7386 0.1024
Pb 0.9444 0.8976 0.7386
Bi 0.1975 0.4202 0.1848
Bi 0.3823 0.8152 0.4202
Pb 0.7500 0.5000 0.5000
Pb 0.6830 0.2614 0.8976
Pb 0.1580 0.2614 0.8976
Bi 0.8025 0.5798 0.8152
Pb 0.5806 0.1024 0.2614
Pb 0.8420 0.7386 0.1024
Pb 0.2500 0.5000 0.5000
Bi 0.6177 0.1848 0.5798
```

***

# 10
Computed, not measured: a geometry-optimized BiPt2Pb2 structure at the PBE level of DFT. Values from VASP.

Computed properties:
crystal system = monoclinic
space group = C2/m (12)
energy of formation from the pure elements = -0.137 eV per atom

```
&SYSTEM
  ibrav = 0, nat = 10, ntyp = 3
/
ATOMIC_SPECIES
Pb 207.20 Pb.upf
Pt 195.08 Pt.upf
Bi 208.98 Bi.upf
CELL_PARAMETERS angstrom
4.4127 0.0000 0.0000
2.2063 6.2279 -0.1496
2.2063 0.7093 8.8559
ATOMIC_POSITIONS crystal
Pb 0.7028 0.6853 0.9092
Pt 0.0598 0.7997 0.0806
Pb 0.5303 0.6187 0.3207
Pt 0.8649 0.6981 0.5721
Pt 0.1351 0.3019 0.4279
Pt 0.9402 0.2003 0.9194
Bi 0.8059 0.0459 0.3422
Pb 0.4697 0.3813 0.6793
Bi 0.1941 0.9541 0.6578
Pb 0.2972 0.3147 0.0908
```